No. 1
AlSb2IrI after structural relaxation, computed with PBEsol.

Computed properties:
raw formation energy = 1.296 eV per atom
SG = P4/mmm, No. 123
magnetic moment = 0.44 μB/cell

a b c (Å): 5.062 5.062 5.082
angles (deg): 90.00 90.00 90.00
Fractional coordinates of all 5 atoms:
Al (0.000, 0.000, 0.000)
Sb (0.000, 0.500, 0.000)
Sb (0.500, 0.000, 0.000)
Ir (0.500, 0.500, 0.500)
I (0.000, 0.000, 0.500)

---

No. 2
Co3AuO after structural relaxation, computed with PBEsol.

Computed properties:
raw formation energy = -0.106 eV per atom
SG = Pm-3m, No. 221
magnetic moment = 3.94 μB/cell

a b c (Å): 3.802 3.802 3.802
angles (deg): 90.00 90.00 90.00
Fractional coordinates of all 5 atoms:
Co (0.000, 0.000, 0.500)
Co (0.000, 0.500, 0.000)
Co (0.500, 0.000, 0.000)
Au (0.500, 0.500, 0.500)
O (0.000, 0.000, 0.000)

---

No. 3
SrTePt2 after structural relaxation, computed with PBEsol.

Computed properties:
raw formation energy = -0.304 eV per atom
distance to the lowest polymorph of the same formula = 1.28 eV per formula unit
SG = I-4m2, No. 119
magnetic moment = 0.00 μB/cell

a b c (Å): 5.531 5.531 5.531
angles (deg): 135.14 135.14 65.32
Fractional coordinates of all 4 atoms:
Sr (0.000, 0.000, 0.000)
Te (0.750, 0.250, 0.500)
Pt (0.250, 0.750, 0.500)
Pt (0.500, 0.500, 0.000)